No. 1
CaV2RuO8: relaxed, PBE+U.

Summary:
Its electronic total energy is -7.29 eV per atom. The value obtained for the total magnetization is 2.0 μB per formula unit.

Cell lengths 5.6167, 5.6167, 6.3659 Å; angles 90.00, 90.00, 120.00 degrees
Closest atoms and distances in Å follow each position.
Fractional coordinates of all 12 atoms:
Ca (0.0000, 0.0000, 0.5000)  6 O 2.48
V (0.6667, 0.3333, 0.2721)  4 O 1.66-1.78
V (0.3333, 0.6667, 0.7279)  4 O 1.66-1.78
Ru (0.0000, 0.0000, 0.0000)  6 O 1.97
O (0.8419, 0.1581, 0.1944)  1 V 1.78, 1 Ru 1.97
O (0.8419, 0.6838, 0.1944)  1 V 1.78, 1 Ru 1.97
O (0.3162, 0.1581, 0.1944)  1 V 1.78, 1 Ru 1.97
O (0.6838, 0.8419, 0.8056)  1 V 1.78, 1 Ru 1.97
O (0.3333, 0.6667, 0.4674)  1 V 1.66
O (0.6667, 0.3333, 0.5326)  1 V 1.66
O (0.1581, 0.8419, 0.8056)  1 V 1.78, 1 Ru 1.97
O (0.1581, 0.3162, 0.8056)  1 V 1.78, 1 Ru 1.97

=====

No. 2
Ca2VRuO6: relaxed, PBE+U.

Summary:
Its electronic total energy is -7.10 eV per atom. The value obtained for the total magnetization is 1.0 μB per formula unit.

Cell lengths 3.9217, 5.4771, 5.4771 Å; angles 90.00, 90.00, 90.00 degrees
Closest atoms and distances in Å follow each position.
Fractional coordinates of all 10 atoms:
Ca (0.0984, 0.5000, 0.0000)  8 O 2.58-2.75
Ca (0.0984, 0.0000, 0.5000)  8 O 2.58-2.75
V (0.6365, 0.0000, 0.0000)  6 O 1.89-2.03
Ru (0.6517, 0.5000, 0.5000)  6 O 1.96-1.98
O (0.6634, 0.2446, 0.2446)  1 V 1.90, 1 Ru 1.98
O (0.6634, 0.2446, 0.7554)  1 V 1.90, 1 Ru 1.98
O (0.1531, 0.5000, 0.5000)  2 Ru 1.96-1.97
O (0.1551, 0.0000, 0.0000)  2 V 1.89-2.03
O (0.6634, 0.7554, 0.7554)  1 V 1.90, 1 Ru 1.98
O (0.6634, 0.7554, 0.2446)  1 V 1.90, 1 Ru 1.98